(1)
# La12Tb6Dy | the Alexandria database | PBE-GGA | optimized geometry
# * mass density: 6.78 g cm⁻³
# * total magnetization: 0.00 μB/f.u.
# * density of states at the Fermi level: 104.10 states/eV/cell
# * formation enthalpy at 0 K: 0.22 eV/atom
data_La12Tb6Dy
_space_group_name_H-M_alt 'R -3'
_space_group_IT_number 148
_space_group_name_Hall '-R 3'
_cell_length_a 14.9979
_cell_length_b 14.9979
_cell_length_c 10.5023
_cell_angle_alpha 90.00
_cell_angle_beta 90.00
_cell_angle_gamma 120.00
loop_
_atom_site_label
_atom_site_fract_x
_atom_site_fract_y
_atom_site_fract_z
La1 0.0441 0.2562 0.0729
La2 0.0660 0.2283 0.4220
Tb1 0.0476 0.1998 0.7591
Dy1 0.0000 0.0000 0.0000

(2)
# La4Tb4Dy5 | the Alexandria database | PBE-GGA | optimized geometry
# * mass density: 7.66 g cm⁻³
# * total magnetization: 0.00 μB/f.u.
# * density of states at the Fermi level: 42.65 states/eV/cell
# * formation enthalpy at 0 K: 0.03 eV/atom
data_La4Tb4Dy5
_space_group_name_H-M_alt 'I 4/m'
_space_group_IT_number 87
_space_group_name_Hall '-I 4'
_cell_length_a 13.030
_cell_length_b 13.030
_cell_length_c 5.114
_cell_angle_alpha 90.00
_cell_angle_beta 90.00
_cell_angle_gamma 90.00
loop_
_atom_site_label
_atom_site_fract_x
_atom_site_fract_y
_atom_site_fract_z
La1 0.078 0.618 0.000
Tb1 0.153 0.229 0.000
Dy1 0.000 0.000 0.000
Dy2 0.040 0.812 0.500

(3)
# LaTb15Dy4 | the Alexandria database | PBE-GGA | optimized geometry
# * mass density: 8.20 g cm⁻³
# * total magnetization: 0.00 μB/f.u.
# * density of states at the Fermi level: 27.38 states/eV/cell
# * formation enthalpy at 0 K: 0.02 eV/atom
data_LaTb15Dy4
_space_group_name_H-M_alt 'P 4/m m m'
_space_group_IT_number 123
_space_group_name_Hall '-P 4 2'
_cell_length_a 5.046
_cell_length_b 5.046
_cell_length_c 25.246
_cell_angle_alpha 90.00
_cell_angle_beta 90.00
_cell_angle_gamma 90.00
loop_
_atom_site_label
_atom_site_fract_x
_atom_site_fract_y
_atom_site_fract_z
La1 0.000 0.000 0.000
Tb1 0.000 0.500 0.102
Tb2 0.000 0.500 0.301
Tb3 0.000 0.500 0.500
Tb4 0.500 0.500 0.000
Tb5 0.500 0.500 0.202
Tb6 0.500 0.500 0.400
Dy1 0.000 0.000 0.201
Dy2 0.000 0.000 0.401

(4)
# LaTb5Dy4 | the Alexandria database | PBE-GGA | optimized geometry
# * mass density: 8.11 g cm⁻³
# * total magnetization: 0.00 μB/f.u.
# * density of states at the Fermi level: 14.74 states/eV/cell
# * formation enthalpy at 0 K: 0.06 eV/atom
data_LaTb5Dy4
_space_group_name_H-M_alt 'P -1'
_space_group_IT_number 2
_cell_length_a 3.559
_cell_length_b 8.943
_cell_length_c 10.774
_cell_angle_alpha 108.35
_cell_angle_beta 94.72
_cell_angle_gamma 90.46
loop_
_space_group_symop_operation_xyz
'x,y,z'
'-x,-y,-z'
loop_
_atom_site_label
_atom_site_fract_x
_atom_site_fract_y
_atom_site_fract_z
La1 0.000 0.000 0.000
Tb1 0.000 0.000 0.500
Tb2 0.283 0.393 0.580
Tb3 0.490 0.216 0.817
Dy1 0.069 0.418 0.123
Dy2 0.399 0.802 0.709

(5)
# La7TbDy2 | the Alexandria database | PBE-GGA | optimized geometry
# * mass density: 5.70 g cm⁻³
# * total magnetization: 0.00 μB/f.u.
# * density of states at the Fermi level: 36.30 states/eV/cell
# * formation enthalpy at 0 K: 0.60 eV/atom
data_La7TbDy2
_space_group_name_H-M_alt 'C m m m'
_space_group_IT_number 65
_space_group_name_Hall '-C 2 2'
_cell_length_a 8.909
_cell_length_b 16.478
_cell_length_c 5.783
_cell_angle_alpha 90.00
_cell_angle_beta 90.00
_cell_angle_gamma 90.00
loop_
_atom_site_label
_atom_site_fract_x
_atom_site_fract_y
_atom_site_fract_z
La1 0.000 0.000 0.000
La2 0.000 0.268 0.500
La3 0.181 0.386 0.000
Tb1 0.000 0.500 0.500
Dy1 0.000 0.205 0.000

(6)
# La5Tb2Dy3 | the Alexandria database | PBE-GGA | optimized geometry
# * mass density: 7.11 g cm⁻³
# * total magnetization: 0.00 μB/f.u.
# * density of states at the Fermi level: 69.58 states/eV/cell
# * formation enthalpy at 0 K: 0.16 eV/atom
data_La5Tb2Dy3
_space_group_name_H-M_alt 'C 1 2/c 1'
_space_group_IT_number 15
_cell_length_a 10.917
_cell_length_b 14.884
_cell_length_c 10.202
_cell_angle_alpha 90.00
_cell_angle_beta 122.29
_cell_angle_gamma 90.00
loop_
_space_group_symop_operation_xyz
'x,y,z'
'-x,-y,-z'
'-x,y,-z+1/2'
'x,-y,z+1/2'
'x+1/2,y+1/2,z'
'-x+1/2,-y+1/2,-z'
'-x+1/2,y+1/2,-z+1/2'
'x+1/2,-y+1/2,z+1/2'
loop_
_atom_site_label
_atom_site_fract_x
_atom_site_fract_y
_atom_site_fract_z
La1 0.000 0.017 0.250
La2 0.000 0.226 0.250
La3 0.000 0.475 0.750
La4 0.247 0.370 0.244
Tb1 0.156 0.129 0.062
Dy1 0.000 0.269 0.750
Dy2 0.153 0.374 0.558

(7)
# La5TbDy4 | the Alexandria database | PBE-GGA | optimized geometry
# * mass density: 7.27 g cm⁻³
# * total magnetization: 0.00 μB/f.u.
# * density of states at the Fermi level: 16.64 states/eV/cell
# * formation enthalpy at 0 K: 0.02 eV/atom
data_La5TbDy4
_space_group_name_H-M_alt 'P 4/m m m'
_space_group_IT_number 123
_space_group_name_Hall '-P 4 2'
_cell_length_a 3.696
_cell_length_b 3.696
_cell_length_c 25.128
_cell_angle_alpha 90.00
_cell_angle_beta 90.00
_cell_angle_gamma 90.00
loop_
_atom_site_label
_atom_site_fract_x
_atom_site_fract_y
_atom_site_fract_z
La1 0.000 0.000 0.000
La2 0.000 0.000 0.200
La3 0.000 0.000 0.400
Tb1 0.500 0.500 0.500
Dy1 0.500 0.500 0.100
Dy2 0.500 0.500 0.300

(8)
# La7Tb6Dy16 | the Alexandria database | PBE-GGA | optimized geometry
# * mass density: 7.33 g cm⁻³
# * total magnetization: 0.00 μB/f.u.
# * density of states at the Fermi level: 205.33 states/eV/cell
# * formation enthalpy at 0 K: 0.27 eV/atom
data_La7Tb6Dy16
_space_group_name_H-M_alt 'F m -3 m'
_space_group_IT_number 225
_space_group_name_Hall '-F 4 2 3'
_cell_length_a 16.010
_cell_length_b 16.010
_cell_length_c 16.010
_cell_angle_alpha 90.00
_cell_angle_beta 90.00
_cell_angle_gamma 90.00
loop_
_atom_site_label
_atom_site_fract_x
_atom_site_fract_y
_atom_site_fract_z
La1 0.000 0.000 0.000
La2 0.000 0.250 0.250
Tb1 0.000 0.000 0.252
Dy1 0.130 0.130 0.130
Dy2 0.151 0.151 0.349

(9)
# La2Tb5Dy12 | the Alexandria database | PBE-GGA | optimized geometry
# * mass density: 8.00 g cm⁻³
# * total magnetization: 0.00 μB/f.u.
# * density of states at the Fermi level: 55.54 states/eV/cell
# * formation enthalpy at 0 K: 0.14 eV/atom
data_La2Tb5Dy12
_space_group_name_H-M_alt 'C 1 2/m 1'
_space_group_IT_number 12
_cell_length_a 15.819
_cell_length_b 9.262
_cell_length_c 8.565
_cell_angle_alpha 90.00
_cell_angle_beta 91.18
_cell_angle_gamma 90.00
loop_
_space_group_symop_operation_xyz
'x,y,z'
'-x,-y,-z'
'-x,y,-z'
'x,-y,z'
'x+1/2,y+1/2,z'
'-x+1/2,-y+1/2,-z'
'-x+1/2,y+1/2,-z'
'x+1/2,-y+1/2,z'
loop_
_atom_site_label
_atom_site_fract_x
_atom_site_fract_y
_atom_site_fract_z
La1 0.000 0.186 0.000
Tb1 0.000 0.500 0.500
Tb2 0.198 0.000 0.009
Tb3 0.232 0.500 0.576
Dy1 0.059 0.000 0.329
Dy2 0.093 0.500 0.883
Dy3 0.126 0.191 0.651
Dy4 0.157 0.320 0.245